Record 1
## Tm2In3Pd4 (PBE)

Data for crystalline Tm2In3Pd4 at its relaxed geometry.

The formation energy is -0.719 eV per atom. As for the spin magnetization: 0.00 μB/f.u. The value obtained for the calculated volume is 177.8 Å³/cell.

```
Tm2In3Pd4
1.0
4.7595 0.0000 0.0000
2.3666 4.1329 0.0000
0.0421 0.0339 9.0376
Tm In Pd
2 3 4
Direct
0.1665 0.1656 0.2158 Tm
0.8335 0.8344 0.7842 Tm
0.1671 0.1683 0.5854 In
0.5000 0.5000 0.0000 In
0.8329 0.8317 0.4146 In
0.1670 0.1678 0.9002 Pd
0.4995 0.4978 0.3430 Pd
0.5005 0.5022 0.6570 Pd
0.8330 0.8322 0.0998 Pd
```



Record 2
## ZrCd2Te (PBE)

Data for crystalline ZrCd2Te at its relaxed geometry.

The value obtained for the formation energy without anion corrections is -160 meV/atom. As for the spin magnetization: 0.00 μB/f.u. The value obtained for the calculated volume is 93.6 Å³/cell.

```
ZrCd2Te
1.0
-2.0757 2.0757 5.4323
2.0757 -2.0757 5.4323
2.0757 2.0757 -5.4323
Zr Cd Te
1 2 1
Direct
0.0000 0.0000 0.0000 Zr
0.2500 0.7500 0.5000 Cd
0.7500 0.2500 0.5000 Cd
0.5000 0.5000 0.0000 Te
```



Q: Among the records above, which one has the highest calculated volume?
A: Tm2In3Pd4